# 1
{
  "formula": "Bi2BSb",
  "functional": "PBE",
  "state": "relaxed",
  "lattice_angstrom": [[-3.424, 3.424, 4.983], [3.424, -3.424, 4.983], [3.424, 3.424, -4.983]],
  "species": ["Bi", "Bi", "Bi", "Bi", "B", "B", "Sb", "Sb"],
  "frac_coords": [[0.044, 0.625, 0.919], [0.375, 0.294, 0.419], [0.706, 0.125, 0.081], [0.875, 0.956, 0.581], [0.000, 0.000, 0.000], [0.750, 0.250, 0.500], [0.250, 0.750, 0.500], [0.500, 0.500, 0.000]],
  "total_magnetization_mub_per_fu": 0.00,
  "relative_energy_mev_per_atom": 0,
  "e_form_raw_ev_per_fu": 2.67
}

# 2
{
  "formula": "NaMn2SiSb",
  "functional": "PBE",
  "state": "relaxed",
  "lattice_angstrom": [[5.035, 0.000, 0.000], [0.000, 5.035, 0.000], [0.000, 0.000, 5.474]],
  "species": ["Na", "Mn", "Mn", "Si", "Sb"],
  "frac_coords": [[0.000, 0.000, 0.000], [0.000, 0.500, 0.500], [0.500, 0.000, 0.500], [0.500, 0.500, 0.000], [0.500, 0.500, 0.500]],
  "total_magnetization_mub_per_fu": 7.25,
  "e_form_raw_ev_per_fu": 4.59
}

# 3
{
  "formula": "Pa2Zn2Cu15",
  "functional": "PBE",
  "state": "relaxed",
  "lattice_angstrom": [[4.276, 2.469, 4.220], [-4.276, 2.469, 4.220], [0.000, -4.938, 4.220]],
  "species": ["Pa", "Pa", "Zn", "Zn", "Cu", "Cu", "Cu", "Cu", "Cu", "Cu", "Cu", "Cu", "Cu", "Cu", "Cu", "Cu", "Cu", "Cu", "Cu"],
  "frac_coords": [[0.147, 0.147, 0.147], [0.853, 0.853, 0.853], [0.397, 0.397, 0.397], [0.603, 0.603, 0.603], [0.000, 0.500, 0.500], [0.151, 0.151, 0.655], [0.151, 0.655, 0.151], [0.198, 0.500, 0.802], [0.198, 0.802, 0.500], [0.345, 0.849, 0.849], [0.500, 0.000, 0.500], [0.500, 0.198, 0.802], [0.500, 0.500, 0.000], [0.500, 0.802, 0.198], [0.655, 0.151, 0.151], [0.802, 0.198, 0.500], [0.802, 0.500, 0.198], [0.849, 0.345, 0.849], [0.849, 0.849, 0.345]],
  "total_magnetization_mub_per_fu": 0.46,
  "formation_energy_ev_per_atom": -0.0139
}